(1)
Density functional theory data (PBE) for a relaxed HoTeAuO crystal.

Cell: 4.399 6.404 6.780 Å, 90.00 90.00 90.00°
Space group Pmc2_1 (No. 26)
Symmetry-distinct sites (fractional):
Ho 0.000 0.174 0.000
Te 0.500 0.345 0.270
Au 0.500 0.254 0.667
O 0.000 0.069 0.704

* M_tot: 0.0 μB per cell
* distance to the lowest polymorph of the same formula: 0.463 eV/atom

=====

(2)
Density functional theory data (PBE) for a relaxed HoTeAuO crystal.

Cell: 20.673 5.679 5.689 Å, 90.00 90.00 90.00°
Space group Aea2 (No. 41)
Symmetry-distinct sites (fractional):
Ho 0.051 0.250 0.000
Te 0.138 0.249 0.500
Au 0.250 0.497 0.004
O 0.000 0.000 0.250
O 0.000 0.000 0.750

* M_tot: 0.0 μB per cell
* distance to the lowest polymorph of the same formula: 0.000 eV/atom

=====

(3)
Density functional theory data (PBE) for a relaxed HoTeAuO crystal.

Cell: 7.807 6.291 6.245 Å, 90.00 90.53 90.00°
Space group P2_1/c (No. 14)
Symmetry-distinct sites (fractional):
Ho 0.094 0.019 0.249
Te 0.309 0.568 0.204
Au 0.408 0.205 0.007
O 0.005 0.240 0.996

* M_tot: 0.0 μB per cell
* distance to the lowest polymorph of the same formula: 0.207 eV/atom

=====

(4)
Density functional theory data (PBE) for a relaxed HoTeAuO crystal.

Cell: 10.072 5.661 5.661 Å, 90.00 90.00 90.00°
Space group Pbcm (No. 57)
Symmetry-distinct sites (fractional):
Ho 0.105 0.000 0.250
Te 0.284 0.001 0.750
Au 0.499 0.750 0.000
O 0.000 0.250 0.000

* M_tot: 0.0 μB per cell
* distance to the lowest polymorph of the same formula: 0.040 eV/atom

=====

(5)
Density functional theory data (PBE) for a relaxed HoTeAuO crystal.

Cell: 5.662 5.662 10.076 Å, 90.00 90.00 90.00°
Space group P4mm (No. 99)
Symmetry-distinct sites (fractional):
Ho 0.000 0.000 0.000
Ho 0.000 0.500 0.789
Ho 0.500 0.500 0.000
Te 0.000 0.000 0.609
Te 0.000 0.500 0.179
Te 0.500 0.500 0.610
Au 0.250 0.250 0.394
O 0.250 0.250 0.894

* M_tot: 0.0 μB per cell
* distance to the lowest polymorph of the same formula: 0.040 eV/atom

=====

(6)
Density functional theory data (PBE) for a relaxed HoTeAuO crystal.

Cell: 5.650 5.650 10.176 Å, 90.00 90.00 90.00°
Space group P4bm (No. 100)
Symmetry-distinct sites (fractional):
Ho 0.000 0.000 0.000
Ho 0.000 0.500 0.210
Te 0.000 0.000 0.390
Te 0.000 0.500 0.826
Au 0.183 0.317 0.594
O 0.249 0.251 0.106

* M_tot: 0.0 μB per cell
* distance to the lowest polymorph of the same formula: 0.026 eV/atom